No. 1
# CePrSc, relaxed, DFT PBE
data_CePrSc
_chemical_formula_sum 'Ce2 Pr2 Sc2'
_space_group_name_H-M_alt 'I 4 m m'
_space_group_IT_number 107
_space_group_name_Hall 'I 4 -2'
_cell_length_a 3.499
_cell_length_b 3.499
_cell_length_c 14.409
_cell_angle_alpha 90.00
_cell_angle_beta 90.00
_cell_angle_gamma 90.00
loop_
_atom_site_label
_atom_site_type_symbol
_atom_site_fract_x
_atom_site_fract_y
_atom_site_fract_z
Ce1 Ce 0.000 0.000 0.000
Pr1 Pr 0.000 0.000 0.671
Sc1 Sc 0.000 0.000 0.348
# Raw total energy, eV per atom: -5.580
# Energy above the most stable polymorph in this dataset, eV/atom: 0.000


No. 2
# CePrSc2Se4, relaxed, DFT PBE
data_CePrSc2Se4
_chemical_formula_sum 'Ce1 Pr1 Sc2 Se4'
_space_group_name_H-M_alt 'P 1 2/m 1'
_space_group_IT_number 10
_cell_length_a 6.941
_cell_length_b 3.993
_cell_length_c 7.178
_cell_angle_alpha 90.00
_cell_angle_beta 108.68
_cell_angle_gamma 90.00
loop_
_space_group_symop_operation_xyz
'x,y,z'
'-x,-y,-z'
'-x,y,-z'
'x,-y,z'
loop_
_atom_site_label
_atom_site_type_symbol
_atom_site_fract_x
_atom_site_fract_y
_atom_site_fract_z
Ce1 Ce 0.000 0.000 0.000
Pr1 Pr 0.500 0.500 0.000
Sc1 Sc 0.000 0.500 0.500
Sc2 Sc 0.500 0.000 0.500
Se1 Se 0.238 0.000 0.720
Se2 Se 0.258 0.500 0.278
# Raw total energy, eV per atom: -6.367
# E_form (uncorrected), eV/f.u.: -13.62


No. 3
# Ce3Pr3ScSe8, relaxed, DFT PBE
data_Ce3Pr3ScSe8
_chemical_formula_sum 'Ce9 Pr9 Sc3 Se24'
_space_group_name_H-M_alt 'R -3 m'
_space_group_IT_number 166
_space_group_name_Hall '-R 3 2"'
_cell_length_a 8.3951
_cell_length_b 8.3951
_cell_length_c 20.6897
_cell_angle_alpha 90.00
_cell_angle_beta 90.00
_cell_angle_gamma 120.00
loop_
_atom_site_label
_atom_site_type_symbol
_atom_site_fract_x
_atom_site_fract_y
_atom_site_fract_z
Ce1 Ce 0.0000 0.5000 0.0000
Pr1 Pr 0.0000 0.5000 0.5000
Sc1 Sc 0.0000 0.0000 0.0000
Se1 Se 0.0000 0.0000 0.2514
Se2 Se 0.0146 0.5073 0.7448
# Raw total energy, eV per atom: -6.251
# E_form (uncorrected), eV/f.u.: -27.41


No. 4
# Ce3Pr2ScSe6, relaxed, DFT PBE
data_Ce3Pr2ScSe6
_chemical_formula_sum 'Ce6 Pr4 Sc2 Se12'
_space_group_name_H-M_alt 'C 1 2/m 1'
_space_group_IT_number 12
_cell_length_a 18.191
_cell_length_b 4.161
_cell_length_c 8.401
_cell_angle_alpha 90.00
_cell_angle_beta 103.27
_cell_angle_gamma 90.00
loop_
_space_group_symop_operation_xyz
'x,y,z'
'-x,-y,-z'
'-x,y,-z'
'x,-y,z'
'x+1/2,y+1/2,z'
'-x+1/2,-y+1/2,-z'
'-x+1/2,y+1/2,-z'
'x+1/2,-y+1/2,z'
loop_
_atom_site_label
_atom_site_type_symbol
_atom_site_fract_x
_atom_site_fract_y
_atom_site_fract_z
Ce1 Ce 0.000 0.000 0.000
Ce2 Ce 0.171 0.500 0.336
Pr1 Pr 0.166 0.500 0.833
Sc1 Sc 0.000 0.000 0.500
Se1 Se 0.003 0.500 0.269
Se2 Se 0.158 0.000 0.576
Se3 Se 0.166 0.000 0.086
# Raw total energy, eV per atom: -6.323
# E_form (uncorrected), eV/f.u.: -21.27


No. 5
# Ce2Pr3ScSe6, relaxed, DFT PBE
data_Ce2Pr3ScSe6
_chemical_formula_sum 'Ce4 Pr6 Sc2 Se12'
_space_group_name_H-M_alt 'C 1 2/m 1'
_space_group_IT_number 12
_cell_length_a 7.218
_cell_length_b 12.516
_cell_length_c 7.293
_cell_angle_alpha 90.00
_cell_angle_beta 109.45
_cell_angle_gamma 90.00
loop_
_space_group_symop_operation_xyz
'x,y,z'
'-x,-y,-z'
'-x,y,-z'
'x,-y,z'
'x+1/2,y+1/2,z'
'-x+1/2,-y+1/2,-z'
'-x+1/2,y+1/2,-z'
'x+1/2,-y+1/2,z'
loop_
_atom_site_label
_atom_site_type_symbol
_atom_site_fract_x
_atom_site_fract_y
_atom_site_fract_z
Ce1 Ce 0.000 0.165 0.000
Pr1 Pr 0.000 0.000 0.500
Pr2 Pr 0.000 0.329 0.500
Sc1 Sc 0.000 0.500 0.000
Se1 Se 0.237 0.340 0.234
Se2 Se 0.239 0.500 0.760
# Raw total energy, eV per atom: -6.234
# E_form (uncorrected), eV/f.u.: -21.36


No. 6
# Ce3Pr4ScSe8, relaxed, DFT PBE
data_Ce3Pr4ScSe8
_chemical_formula_sum 'Ce9 Pr12 Sc3 Se24'
_space_group_name_H-M_alt 'R -3 m'
_space_group_IT_number 166
_space_group_name_Hall '-R 3 2"'
_cell_length_a 8.3870
_cell_length_b 8.3870
_cell_length_c 20.6201
_cell_angle_alpha 90.00
_cell_angle_beta 90.00
_cell_angle_gamma 120.00
loop_
_atom_site_label
_atom_site_type_symbol
_atom_site_fract_x
_atom_site_fract_y
_atom_site_fract_z
Ce1 Ce 0.0000 0.5000 0.0000
Pr1 Pr 0.0000 0.0000 0.5000
Pr2 Pr 0.0000 0.5000 0.5000
Sc1 Sc 0.0000 0.0000 0.0000
Se1 Se 0.0000 0.0000 0.2517
Se2 Se 0.0114 0.5057 0.7452
# Raw total energy, eV per atom: -6.237
# E_form (uncorrected), eV/f.u.: -28.67


No. 7
# TbCePrSc, relaxed, DFT PBE
data_TbCePrSc
_chemical_formula_sum 'Tb4 Ce4 Pr4 Sc4'
_space_group_name_H-M_alt 'F -4 3 m'
_space_group_IT_number 216
_space_group_name_Hall 'F -4 2 3'
_cell_length_a 7.905
_cell_length_b 7.905
_cell_length_c 7.905
_cell_angle_alpha 90.00
_cell_angle_beta 90.00
_cell_angle_gamma 90.00
loop_
_atom_site_label
_atom_site_type_symbol
_atom_site_fract_x
_atom_site_fract_y
_atom_site_fract_z
Tb1 Tb 0.000 0.000 0.000
Ce1 Ce 0.250 0.250 0.750
Pr1 Pr 0.250 0.250 0.250
Sc1 Sc 0.000 0.000 0.500
# Raw total energy, eV per atom: -5.261


No. 8
# CePr2ScTe4, relaxed, DFT PBE
data_CePr2ScTe4
_chemical_formula_sum 'Ce1 Pr2 Sc1 Te4'
_space_group_name_H-M_alt 'P 1 2/m 1'
_space_group_IT_number 10
_cell_length_a 7.685
_cell_length_b 4.388
_cell_length_c 7.737
_cell_angle_alpha 90.00
_cell_angle_beta 108.86
_cell_angle_gamma 90.00
loop_
_space_group_symop_operation_xyz
'x,y,z'
'-x,-y,-z'
'-x,y,-z'
'x,-y,z'
loop_
_atom_site_label
_atom_site_type_symbol
_atom_site_fract_x
_atom_site_fract_y
_atom_site_fract_z
Ce1 Ce 0.000 0.000 0.000
Pr1 Pr 0.000 0.500 0.500
Pr2 Pr 0.500 0.000 0.500
Sc1 Sc 0.500 0.500 0.000
Te1 Te 0.257 0.500 0.238
Te2 Te 0.268 0.000 0.771
# Raw total energy, eV per atom: -5.619
# E_form (uncorrected), eV/f.u.: -10.56


Q: Which of these has the lowest raw total energy?
A: CePrSc2Se4


Q: Look up the raw total energy of the sixth one.
A: -6.237 eV per atom


Q: Which value of raw total energy does entry 6 give?
A: -6.237 eV per atom


Q: Among the records above, which one has the lowest raw total energy?
A: CePrSc2Se4